# 1
Here is a crystal of RePPt2 relaxed with PBEsol from the Alexandria database. Energies are from SCAN.

**Crystal system**: orthorhombic
**Calculated volume**: 56.5 Å³ per cell
**N(E_F)**: 3.603 states/eV/cell
**VASP energy**: -221.40 eV per cell
**Energy above the lowest structure with this stoichiometry**: 0.000 eV/atom

Lattice parameters (Å, degrees): 5.2236 5.2236 5.2236 147.31 132.29 59.04
Last column: nearest neighbours and their distance in Å.
Sites, in units of the cell vectors:
Re: 0.0000 0.0000 0.0000  4 P 2.57, 4 Pt 2.85
P: 0.5000 0.5000 0.0000  4 Pt 2.41, 4 Re 2.57
Pt: 0.2902 0.7902 0.5000  2 P 2.41, 4 Pt 2.68
Pt: 0.7098 0.2098 0.5000  2 P 2.41, 4 Pt 2.68

# 2
Here is a crystal of DyTlP2Se6 relaxed with PBEsol from the Alexandria database. Energies are from SCAN.

**Crystal system**: monoclinic
**Calculated volume**: 501.3 Å³ per cell
**N(E_F)**: 0.000 states/eV/cell
**VASP energy**: -537.37 eV per cell

Lattice parameters (Å, degrees): 6.6872 7.4465 10.0679 90.00 90.79 90.00
Last column: nearest neighbours and their distance in Å.
Sites, in units of the cell vectors:
Dy: 0.2131 0.0000 0.0017  8 Se 2.92-3.04
Dy: 0.7869 0.5000 0.9983  8 Se 2.92-3.04
Tl: 0.3192 0.2205 0.5094  6 Se 3.19-3.44
Tl: 0.6808 0.7205 0.4906  6 Se 3.19-3.44
P: 0.1862 0.7281 0.2996  3 Se 2.14-2.25, 1 P 2.24
P: 0.3128 0.5062 0.1770  3 Se 2.19-2.24, 1 P 2.24
P: 0.6872 0.0062 0.8230  3 Se 2.19-2.24, 1 P 2.24
P: 0.8138 0.2281 0.7004  3 Se 2.14-2.25, 1 P 2.24
Se: 0.0695 0.3036 0.1728  1 P 2.22
Se: 0.0771 0.3108 0.8270  1 P 2.25
Se: 0.1471 0.6298 0.4978  1 P 2.14
Se: 0.3715 0.6352 0.9803  1 P 2.24
Se: 0.4028 0.9428 0.2690  1 P 2.18
Se: 0.4038 0.9084 0.7398  1 P 2.19
Se: 0.5962 0.4084 0.2602  1 P 2.19
Se: 0.5972 0.4428 0.7310  1 P 2.18
Se: 0.6285 0.1352 0.0197  1 P 2.24
Se: 0.8529 0.1298 0.5022  1 P 2.14
Se: 0.9229 0.8108 0.1730  1 P 2.25
Se: 0.9305 0.8036 0.8272  1 P 2.22

# 3
Here is a crystal of LiIn2Rh relaxed with PBEsol from the Alexandria database. Energies are from SCAN.

**Crystal system**: cubic
**Calculated volume**: 68.0 Å³ per cell
**N(E_F)**: 1.696 states/eV/cell
**VASP energy**: -103.73 eV per cell
**Energy above the lowest structure with this stoichiometry**: 0.290 eV/atom

Lattice parameters (Å, degrees): 4.5809 4.5809 4.5809 60.00 60.00 60.00
Last column: nearest neighbours and their distance in Å.
Sites, in units of the cell vectors:
Li: 0.0000 0.0000 0.0000  4 Rh 2.81, 4 In 2.81
In: 0.5000 0.5000 0.5000  4 In 2.81, 4 Rh 2.81
In: 0.7500 0.7500 0.7500  4 Li 2.81, 4 In 2.81
Rh: 0.2500 0.2500 0.2500  4 In 2.81, 4 Li 2.81

# 4
Here is a crystal of CaBeCdSb2 relaxed with PBEsol from the Alexandria database. Energies are from SCAN.

**Crystal system**: tetragonal
**Calculated volume**: 120.5 Å³ per cell
**N(E_F)**: 2.273 states/eV/cell
**VASP energy**: -119.18 eV per cell

Lattice parameters (Å, degrees): 5.0824 5.0824 4.6658 90.00 90.00 90.00
Last column: nearest neighbours and their distance in Å.
Sites, in units of the cell vectors:
Ca: 0.0000 0.0000 0.0000  8 Sb 3.45, 4 Cd 3.59
Be: 0.5000 0.5000 0.5000  2 Cd 2.33, 4 Sb 2.54
Cd: 0.5000 0.5000 0.0000  2 Be 2.33
Sb: 0.0000 0.5000 0.5000  2 Be 2.54
Sb: 0.5000 0.0000 0.5000  2 Be 2.54

# 5
Here is a crystal of KLiCd relaxed with PBEsol from the Alexandria database. Energies are from SCAN.

**Crystal system**: orthorhombic
**Calculated volume**: 90.4 Å³ per cell
**N(E_F)**: 1.404 states/eV/cell
**VASP energy**: -41.32 eV per cell
**Energy above the lowest structure with this stoichiometry**: 0.000 eV/atom

Lattice parameters (Å, degrees): 6.7993 6.7993 6.7993 149.83 144.93 46.93
Last column: nearest neighbours and their distance in Å.
Sites, in units of the cell vectors:
K: 0.0000 0.0000 0.0000  1 Li 3.39, 2 K 3.54, 5 Cd 3.64-3.75
Li: 0.2720 0.2720 0.0000  4 Cd 2.82
Cd: 0.7080 0.7080 0.0000  4 Li 2.82

# 6
Here is a crystal of Sc2BeOsF relaxed with PBEsol from the Alexandria database. Energies are from SCAN.

**Crystal system**: tetragonal
**Calculated volume**: 75.4 Å³ per cell
**N(E_F)**: 3.119 states/eV/cell
**VASP energy**: -109.51 eV per cell

Lattice parameters (Å, degrees): 4.2148 4.2148 4.2451 90.00 90.00 90.00
Last column: nearest neighbours and their distance in Å.
Sites, in units of the cell vectors:
Sc: 0.0000 0.5000 0.0000  2 F 2.11
Sc: 0.5000 0.0000 0.0000  2 F 2.11
Be: 0.0000 0.0000 0.5000  4 Os 2.98, 8 Sc 2.99
Os: 0.5000 0.5000 0.5000  2 F 2.12
F: 0.5000 0.5000 0.0000  4 Sc 2.11, 2 Os 2.12

# 7
Here is a crystal of CoNiIr2 relaxed with PBEsol from the Alexandria database. Energies are from SCAN.

**Crystal system**: orthorhombic
**Calculated volume**: 49.2 Å³ per cell
**N(E_F)**: 4.586 states/eV/cell
**VASP energy**: -175.50 eV per cell
**Energy above the lowest structure with this stoichiometry**: 0.038 eV/atom

Lattice parameters (Å, degrees): 2.6452 3.6541 5.0933 90.00 90.00 90.00
Last column: nearest neighbours and their distance in Å.
Sites, in units of the cell vectors:
Co: 0.0000 0.0000 0.0000  6 Ir 2.48-2.61, 4 Ni 2.57, 2 Co 2.65
Ni: 0.5000 0.5000 0.7602  6 Ir 2.48-2.62, 4 Co 2.57, 2 Ni 2.65
Ir: 0.0000 0.0000 0.5126  2 Co 2.48-2.61, 4 Ni 2.58, 6 Ir 2.63-2.65
Ir: 0.5000 0.5000 0.2462  2 Ni 2.48-2.62, 4 Co 2.58, 6 Ir 2.63-2.65

# 8
Here is a crystal of InSe2 relaxed with PBEsol from the Alexandria database. Energies are from SCAN.

**Crystal system**: tetragonal
**Calculated volume**: 76.6 Å³ per cell
**N(E_F)**: 1.875 states/eV/cell
**VASP energy**: -72.90 eV per cell

Lattice parameters (Å, degrees): 5.0404 5.0404 3.0133 90.00 90.00 90.00
Last column: nearest neighbours and their distance in Å.
Sites, in units of the cell vectors:
In: 0.0000 0.0000 0.0000  8 Se 2.94, 2 In 3.01
Se: 0.0000 0.5000 0.5000  4 In 2.94, 2 Se 3.01
Se: 0.5000 0.0000 0.5000  4 In 2.94, 2 Se 3.01

# 9
Here is a crystal of Zn2TcAs relaxed with PBEsol from the Alexandria database. Energies are from SCAN.

**Crystal system**: trigonal
**Calculated volume**: 60.6 Å³ per cell
**N(E_F)**: 2.268 states/eV/cell
**VASP energy**: -81.24 eV per cell

Lattice parameters (Å, degrees): 8.9332 8.9332 8.9332 18.17 18.17 18.17
Last column: nearest neighbours and their distance in Å.
Sites, in units of the cell vectors:
Zn: 0.2456 0.2456 0.2456  3 Tc 2.64, 6 Zn 2.82, 3 As 2.83
Zn: 0.7544 0.7544 0.7544  3 Tc 2.64, 6 Zn 2.82, 3 As 2.83
Tc: 0.5000 0.5000 0.5000  6 Zn 2.64, 6 Tc 2.82
As: 0.0000 0.0000 0.0000  6 As 2.82, 6 Zn 2.83

# 10
Here is a crystal of KRb2AlI6 relaxed with PBEsol from the Alexandria database. Energies are from SCAN.

**Crystal system**: cubic
**Calculated volume**: 464.6 Å³ per cell
**N(E_F)**: 0.000 states/eV/cell
**VASP energy**: -290.00 eV per cell

Lattice parameters (Å, degrees): 8.6937 8.6937 8.6937 60.00 60.00 60.00
Last column: nearest neighbours and their distance in Å.
Sites, in units of the cell vectors:
K: 0.0000 0.0000 0.0000  6 I 3.37
Rb: 0.2500 0.2500 0.2500  12 I 4.36
Rb: 0.7500 0.7500 0.7500  12 I 4.36
Al: 0.5000 0.5000 0.5000  6 I 2.78
I: 0.2741 0.2741 0.7259  1 Al 2.78
I: 0.2741 0.7259 0.2741  1 Al 2.78
I: 0.2741 0.7259 0.7259  1 Al 2.78
I: 0.7259 0.2741 0.2741  1 Al 2.78
I: 0.7259 0.2741 0.7259  1 Al 2.78
I: 0.7259 0.7259 0.2741  1 Al 2.78

# 11
Here is a crystal of NiMo2Os relaxed with PBEsol from the Alexandria database. Energies are from SCAN.

**Crystal system**: tetragonal
**Calculated volume**: 54.7 Å³ per cell
**N(E_F)**: 2.544 states/eV/cell
**VASP energy**: -157.90 eV per cell
**Energy above the lowest structure with this stoichiometry**: 0.001 eV/atom

Lattice parameters (Å, degrees): 3.7842 3.7842 3.8205 90.00 90.00 90.00
Last column: nearest neighbours and their distance in Å.
Sites, in units of the cell vectors:
Ni: 0.0000 0.0000 0.0000  4 Os 2.68, 8 Mo 2.69
Mo: 0.0000 0.5000 0.5000  4 Mo 2.68, 4 Os 2.69, 4 Ni 2.69
Mo: 0.5000 0.0000 0.5000  4 Mo 2.68, 4 Os 2.69, 4 Ni 2.69
Os: 0.5000 0.5000 0.0000  4 Ni 2.68, 8 Mo 2.69

# 12
Here is a crystal of ZnCd3 relaxed with PBEsol from the Alexandria database. Energies are from SCAN.

**Crystal system**: tetragonal
**Calculated volume**: 77.0 Å³ per cell
**N(E_F)**: 1.364 states/eV/cell
**VASP energy**: -104.46 eV per cell

Lattice parameters (Å, degrees): 3.0233 3.0233 8.4195 90.00 90.00 90.00
Last column: nearest neighbours and their distance in Å.
Sites, in units of the cell vectors:
Zn: 0.0000 0.0000 0.0000  8 Cd 2.89, 4 Zn 3.02
Cd: 0.0000 0.0000 0.5000  12 Cd 3.02-3.12
Cd: 0.5000 0.5000 0.2304  4 Zn 2.89, 8 Cd 3.02-3.12
Cd: 0.5000 0.5000 0.7696  4 Zn 2.89, 8 Cd 3.02-3.12

# 13
Here is a crystal of K3TeH relaxed with PBEsol from the Alexandria database. Energies are from SCAN.

**Crystal system**: cubic
**Calculated volume**: 146.1 Å³ per cell
**N(E_F)**: 0.000 states/eV/cell
**VASP energy**: -69.93 eV per cell
**Energy above the lowest structure with this stoichiometry**: 0.000 eV/atom

Lattice parameters (Å, degrees): 5.2672 5.2672 5.2672 90.00 90.00 90.00
Last column: nearest neighbours and their distance in Å.
Sites, in units of the cell vectors:
K: 0.0000 0.0000 0.5000  2 H 2.63
K: 0.0000 0.5000 0.0000  2 H 2.63
K: 0.5000 0.0000 0.0000  2 H 2.63
Te: 0.5000 0.5000 0.5000  12 K 3.72
H: 0.0000 0.0000 0.0000  6 K 2.63

# 14
Here is a crystal of ZrTaIn2 relaxed with PBEsol from the Alexandria database. Energies are from SCAN.

**Crystal system**: orthorhombic
**Calculated volume**: 79.5 Å³ per cell
**N(E_F)**: 1.926 states/eV/cell
**VASP energy**: -164.58 eV per cell
**Energy above the lowest structure with this stoichiometry**: 0.020 eV/atom

Lattice parameters (Å, degrees): 5.3720 5.3720 2.9779 90.00 90.00 112.27
Last column: nearest neighbours and their distance in Å.
Sites, in units of the cell vectors:
Zr: 0.0000 0.0000 0.0000  2 Zr 2.98, 2 Ta 2.99, 8 In 3.07
Ta: 0.5000 0.5000 0.0000  2 Ta 2.98, 2 Zr 2.99, 8 In 3.07
In: 0.0000 0.5000 0.5000  4 In 2.98-2.99, 4 Ta 3.07, 4 Zr 3.07
In: 0.5000 0.0000 0.5000  4 In 2.98-2.99, 4 Zr 3.07, 4 Ta 3.07

# 15
Here is a crystal of CdCu2Pt relaxed with PBEsol from the Alexandria database. Energies are from SCAN.

**Crystal system**: orthorhombic
**Calculated volume**: 56.4 Å³ per cell
**N(E_F)**: 1.228 states/eV/cell
**VASP energy**: -131.42 eV per cell

Lattice parameters (Å, degrees): 4.4885 4.4885 2.8701 90.00 90.00 102.90
Last column: nearest neighbours and their distance in Å.
Sites, in units of the cell vectors:
Cd: 0.0000 0.0000 0.0000  8 Cu 2.66, 2 Pt 2.80, 2 Cd 2.87
Cu: 0.0000 0.5000 0.5000  4 Pt 2.66, 4 Cd 2.66, 4 Cu 2.80-2.87
Cu: 0.5000 0.0000 0.5000  4 Pt 2.66, 4 Cd 2.66, 4 Cu 2.80-2.87
Pt: 0.5000 0.5000 0.0000  8 Cu 2.66, 2 Cd 2.80, 2 Pt 2.87

# 16
Here is a crystal of Hf2Si2Ag relaxed with PBEsol from the Alexandria database. Energies are from SCAN.

**Crystal system**: tetragonal
**Calculated volume**: 100.1 Å³ per cell
**N(E_F)**: 3.786 states/eV/cell
**VASP energy**: -176.08 eV per cell

Lattice parameters (Å, degrees): 6.1179 6.1179 6.1179 138.34 138.34 60.39
Last column: nearest neighbours and their distance in Å.
Sites, in units of the cell vectors:
Hf: 0.2500 0.7500 0.5000  4 Si 2.65
Hf: 0.7500 0.2500 0.5000  4 Si 2.65
Si: 0.1077 0.1077 0.0000  1 Si 2.28
Si: 0.8923 0.8923 0.0000  1 Si 2.28
Ag: 0.5000 0.5000 0.0000  8 Si 3.28, 8 Hf 3.42

# 17
Here is a crystal of AgW3Cl relaxed with PBEsol from the Alexandria database. Energies are from SCAN.

**Crystal system**: cubic
**Calculated volume**: 82.8 Å³ per cell
**N(E_F)**: 1.989 states/eV/cell
**VASP energy**: -239.64 eV per cell

Lattice parameters (Å, degrees): 4.3590 4.3590 4.3590 90.00 90.00 90.00
Last column: nearest neighbours and their distance in Å.
Sites, in units of the cell vectors:
Ag: 0.0000 0.0000 0.0000  12 W 3.08
W: 0.0000 0.5000 0.5000  2 Cl 2.18
W: 0.5000 0.0000 0.5000  2 Cl 2.18
W: 0.5000 0.5000 0.0000  2 Cl 2.18
Cl: 0.5000 0.5000 0.5000  6 W 2.18

# 18
Here is a crystal of DyAl3B4O12 relaxed with PBEsol from the Alexandria database. Energies are from SCAN.

**Crystal system**: trigonal
**Calculated volume**: 179.9 Å³ per cell
**N(E_F)**: 0.000 states/eV/cell
**VASP energy**: -238.22 eV per cell

Lattice parameters (Å, degrees): 5.8830 5.8830 5.8830 104.50 104.50 104.50
Last column: nearest neighbours and their distance in Å.
Sites, in units of the cell vectors:
Dy: 0.0000 0.0000 0.0000  6 O 2.31
Al: 0.0000 0.5556 0.4444  6 O 1.86-1.93
Al: 0.4444 0.0000 0.5556  6 O 1.86-1.93
Al: 0.5556 0.4444 0.0000  6 O 1.86-1.93
B: 0.0567 0.5000 0.9433  3 O 1.37-1.38
B: 0.5000 0.5000 0.5000  3 O 1.39
B: 0.5000 0.9433 0.0567  3 O 1.37-1.38
B: 0.9433 0.0567 0.5000  3 O 1.37-1.38
O: 0.0288 0.6295 0.7796  1 B 1.37
O: 0.0919 0.9081 0.5000  1 B 1.38
O: 0.2204 0.3705 0.9712  1 B 1.37
O: 0.3510 0.6490 0.5000  1 B 1.39
O: 0.3705 0.9712 0.2204  1 B 1.37
O: 0.5000 0.0919 0.9081  1 B 1.38
O: 0.5000 0.3510 0.6490  1 B 1.39
O: 0.6295 0.7796 0.0288  1 B 1.37
O: 0.6490 0.5000 0.3510  1 B 1.39
O: 0.7796 0.0288 0.6295  1 B 1.37
O: 0.9081 0.5000 0.0919  1 B 1.38
O: 0.9712 0.2204 0.3705  1 B 1.37

# 19
Here is a crystal of Tc3SbP relaxed with PBEsol from the Alexandria database. Energies are from SCAN.

**Crystal system**: cubic
**Calculated volume**: 82.8 Å³ per cell
**N(E_F)**: 4.157 states/eV/cell
**VASP energy**: -150.56 eV per cell

Lattice parameters (Å, degrees): 4.3591 4.3591 4.3591 90.00 90.00 90.00
Last column: nearest neighbours and their distance in Å.
Sites, in units of the cell vectors:
Tc: 0.0000 0.0000 0.5000  2 P 2.18
Tc: 0.0000 0.5000 0.0000  2 P 2.18
Tc: 0.5000 0.0000 0.0000  2 P 2.18
Sb: 0.5000 0.5000 0.5000  12 Tc 3.08
P: 0.0000 0.0000 0.0000  6 Tc 2.18

# 20
Here is a crystal of LaZr2Br relaxed with PBEsol from the Alexandria database. Energies are from SCAN.

**Crystal system**: monoclinic
**Calculated volume**: 102.4 Å³ per cell
**N(E_F)**: 4.204 states/eV/cell
**VASP energy**: -124.50 eV per cell

Lattice parameters (Å, degrees): 5.5149 5.5149 6.1167 102.44 102.44 34.41
Last column: nearest neighbours and their distance in Å.
Sites, in units of the cell vectors:
La: 0.0000 0.0000 0.0000  3 Br 3.11-3.24, 2 La 3.26, 2 Zr 3.32
Zr: 0.1990 0.1990 0.5888  3 Zr 2.88-2.95, 2 Br 2.96
Zr: 0.4593 0.4593 0.5156  3 Zr 2.88-2.95, 2 Br 2.90
Br: 0.7630 0.7630 0.2254  4 Zr 2.90-2.96, 3 La 3.11-3.24